Below is an optimized crystal structure of Sb2BrCl, with properties calculated at the PBE-GGA level.

Computed properties:
Relative energy among the computed polymorphs = 0.308 eV per atom
Mass density = 6.1 g cm⁻³
Size of the total moment = 0.00 μB per formula unit
Energy relative to the elements, uncorrected = -0.08 eV per atom

a = 5.1807 Å, b = 5.1807 Å, c = 5.1807 Å
α = 60.00°, β = 60.00°, γ = 60.00°
Fractional positions:
Sb: 0.0000 0.0000 0.0000
Sb: 0.2500 0.2500 0.2500
Br: 0.5000 0.5000 0.5000
Cl: 0.7500 0.7500 0.7500